DFT (PBE) results for a geometry-optimized CsGaRe2O8 structure.

Cell and atoms, written as POSCAR:
```
CsGaRe2O8
1.0
6.2108 0.0000 0.0000
-3.1054 5.3787 0.0000
0.0000 0.0000 8.7501
Cs Ga Re O
1 1 2 8
Direct
0.0000 0.0000 0.0000
0.0000 0.0000 0.5000
0.6667 0.3333 0.2331
0.3333 0.6667 0.7669
0.3333 0.6667 0.9673
0.3577 0.1948 0.2977
0.8052 0.1629 0.2977
0.6667 0.3333 0.0327
0.1948 0.8371 0.7023
0.6423 0.8052 0.7023
0.1629 0.3577 0.7023
0.8371 0.6423 0.2977
```

Symmetry: P-3
DOS at the Fermi energy: 0.000 states/eV/atom
Raw formation energy: -1647 meV/atom
Final energy: -7.351 eV/atom

***

DFT (PBE) results for a geometry-optimized Y4AgC2 structure.

Cell and atoms, written as POSCAR:
```
Y4AgC2
1.0
3.6929 0.0000 0.0000
-1.8464 6.1591 0.0000
0.0000 0.0000 13.0899
Y C Ag
8 4 2
Direct
0.7631 0.5262 0.1028
0.7631 0.5262 0.3972
0.2369 0.4738 0.8972
0.2369 0.4738 0.6028
0.9225 0.8450 0.7500
0.0775 0.1550 0.2500
0.5000 0.0000 0.0000
0.5000 0.0000 0.5000
0.1353 0.2706 0.4386
0.8647 0.7294 0.9386
0.1353 0.2706 0.0614
0.8647 0.7294 0.5614
0.6134 0.2268 0.7500
0.3866 0.7732 0.2500
```

Symmetry: Cmcm
E_form: -0.226 eV per atom
DOS at the Fermi energy: 0.887 states/eV/atom
Final energy: -6.963 eV/atom